Entry from Alexandria via LeMat-Bulk: K2RbCeCl6 after structural relaxation (GGA-PBE). Values from VASP.

Properties
density of states at the Fermi level = 0.863 states/eV/atom
space-group type = Fm-3m, No. 225
energy relative to the elements, uncorrected = -1978 meV per atom

Quantum ESPRESSO input file:
```
&SYSTEM
  ibrav = 0, nat = 10, ntyp = 4
/
ATOMIC_SPECIES
K 39.10 K.upf
Rb 85.47 Rb.upf
Ce 140.12 Ce.upf
Cl 35.45 Cl.upf
CELL_PARAMETERS angstrom
0.0000 5.8519 5.8519
5.8519 0.0000 5.8519
5.8519 5.8519 0.0000
ATOMIC_POSITIONS angstrom
K 2.9260 2.9260 2.9260
K 8.7779 8.7779 8.7779
Rb 0.0000 0.0000 0.0000
Ce 5.8519 5.8519 5.8519
Cl 5.8519 5.8519 3.1091
Cl 5.8519 3.1091 5.8519
Cl 8.5947 5.8519 5.8519
Cl 3.1091 5.8519 5.8519
Cl 5.8519 8.5947 5.8519
Cl 5.8519 5.8519 8.5947
```



Entry from Alexandria via LeMat-Bulk: KCeScCl6 after structural relaxation (GGA-PBE). Values from VASP.

Properties
density of states at the Fermi level = 1.201 states/eV/atom
space-group type = P-31c, No. 163
energy relative to the elements, uncorrected = -2067 meV per atom

Quantum ESPRESSO input file:
```
&SYSTEM
  ibrav = 0, nat = 18, ntyp = 4
/
ATOMIC_SPECIES
K 39.10 K.upf
Ce 140.12 Ce.upf
Sc 44.96 Sc.upf
Cl 35.45 Cl.upf
CELL_PARAMETERS angstrom
6.9421 0.0000 0.0000
-3.4710 6.0120 0.0000
0.0000 0.0000 14.0494
ATOMIC_POSITIONS angstrom
K 0.0000 0.0000 0.0000
K 0.0000 0.0000 7.0247
Ce 0.0000 4.0080 3.5123
Ce 3.4710 2.0040 10.5370
Sc 0.0000 4.0080 10.5370
Sc 3.4710 2.0040 3.5123
Cl -1.1093 2.2440 9.0166
Cl -2.0823 3.9294 12.0575
Cl 1.1093 2.2440 12.0575
Cl -0.9731 5.8507 9.0166
Cl 2.4980 0.1613 1.9919
Cl 1.3887 2.0826 5.0328
Cl 2.0823 3.9294 9.0166
Cl 0.9731 5.8507 12.0575
Cl 4.4441 0.1613 5.0328
Cl 2.3618 3.7681 1.9919
Cl 5.5534 2.0826 1.9919
Cl 4.5803 3.7681 5.0328
```



Entry from Alexandria via LeMat-Bulk: K2CeSe2Cl2 after structural relaxation (GGA-PBE). Values from VASP.

Properties
density of states at the Fermi level = 0.182 states/eV/atom
space-group type = I4/mmm, No. 139
energy relative to the elements, uncorrected = -1728 meV per atom

Quantum ESPRESSO input file:
```
&SYSTEM
  ibrav = 0, nat = 7, ntyp = 4
/
ATOMIC_SPECIES
K 39.10 K.upf
Ce 140.12 Ce.upf
Se 78.96 Se.upf
Cl 35.45 Cl.upf
CELL_PARAMETERS angstrom
-2.8014 2.8014 7.9541
2.8014 -2.8014 7.9541
2.8014 2.8014 -7.9541
ATOMIC_POSITIONS angstrom
K 0.0000 0.0000 2.1308
K 0.0000 0.0000 13.7774
Ce 0.0000 0.0000 7.9541
Se 2.8014 0.0000 0.0000
Se 0.0000 2.8014 0.0000
Cl 0.0000 0.0000 5.2333
Cl 0.0000 0.0000 10.6749
```



Entry from Alexandria via LeMat-Bulk: KSr2CeCl8 after structural relaxation (GGA-PBE). Values from VASP.

Properties
density of states at the Fermi level = 0.652 states/eV/atom
space-group type = P2/m, No. 10
energy relative to the elements, uncorrected = -2291 meV per atom

Quantum ESPRESSO input file:
```
&SYSTEM
  ibrav = 0, nat = 12, ntyp = 4
/
ATOMIC_SPECIES
K 39.10 K.upf
Sr 87.62 Sr.upf
Ce 140.12 Ce.upf
Cl 35.45 Cl.upf
CELL_PARAMETERS angstrom
6.7179 0.0000 0.0000
0.0000 9.0821 0.0000
-0.0097 0.0000 6.8439
ATOMIC_POSITIONS angstrom
K 0.0000 0.0000 0.0000
Sr 3.3541 2.2339 3.4220
Sr 3.3541 6.8483 3.4220
Ce 0.0000 4.5411 0.0000
Cl 1.4472 2.5453 5.6273
Cl 1.4472 6.5368 5.6273
Cl 1.8670 4.5411 2.1455
Cl 1.9595 0.0000 2.3136
Cl 4.7487 0.0000 4.5303
Cl 4.8412 4.5411 4.6984
Cl 5.2610 2.5453 1.2166
Cl 5.2610 6.5368 1.2166
```



Entry from Alexandria via LeMat-Bulk: K2SrCeCl8 after structural relaxation (GGA-PBE). Values from VASP.

Properties
space-group type = P2/m, No. 10
energy relative to the elements, uncorrected = -2075 meV per atom

Quantum ESPRESSO input file:
```
&SYSTEM
  ibrav = 0, nat = 12, ntyp = 4
/
ATOMIC_SPECIES
K 39.10 K.upf
Sr 87.62 Sr.upf
Ce 140.12 Ce.upf
Cl 35.45 Cl.upf
CELL_PARAMETERS angstrom
6.8805 0.0000 0.0000
0.0000 8.9293 0.0000
-0.3054 0.0000 7.0703
ATOMIC_POSITIONS angstrom
K 0.0000 2.1870 0.0000
K 0.0000 6.7423 0.0000
Sr 3.2876 0.0000 3.5351
Ce 3.2876 4.4646 3.5351
Cl 1.6241 0.0000 1.2984
Cl 1.7906 4.4646 1.3919
Cl 1.8195 2.4811 4.5469
Cl 1.8195 6.4482 4.5469
Cl 4.7557 2.4811 2.5233
Cl 4.7557 6.4482 2.5233
Cl 4.7845 4.4646 5.6784
Cl 4.9511 0.0000 5.7719
```



Entry from Alexandria via LeMat-Bulk: KSrCeCl6 after structural relaxation (GGA-PBE). Values from VASP.

Properties
density of states at the Fermi level = 0.923 states/eV/atom
space-group type = P-31c, No. 163
energy relative to the elements, uncorrected = -2255 meV per atom

Quantum ESPRESSO input file:
```
&SYSTEM
  ibrav = 0, nat = 18, ntyp = 4
/
ATOMIC_SPECIES
K 39.10 K.upf
Sr 87.62 Sr.upf
Ce 140.12 Ce.upf
Cl 35.45 Cl.upf
CELL_PARAMETERS angstrom
7.4991 0.0000 0.0000
-3.7496 6.4944 0.0000
0.0000 0.0000 13.2710
ATOMIC_POSITIONS angstrom
K 0.0000 0.0000 0.0000
K 0.0000 0.0000 6.6355
Sr 0.0000 4.3296 3.3177
Sr 3.7496 2.1648 9.9532
Ce 0.0000 4.3296 9.9532
Ce 3.7496 2.1648 3.3177
Cl -1.2802 2.3977 8.4234
Cl -2.3132 4.1869 11.4830
Cl 1.2802 2.3977 11.4830
Cl -1.0330 6.4042 8.4234
Cl 2.7166 0.0902 1.7880
Cl 1.4364 2.3075 4.8475
Cl 2.3132 4.1869 8.4234
Cl 1.0330 6.4042 11.4830
Cl 4.7826 0.0902 4.8475
Cl 2.4694 4.0967 1.7880
Cl 6.0627 2.3075 1.7880
Cl 5.0297 4.0967 4.8475
```



Entry from Alexandria via LeMat-Bulk: KCeTlCl6 after structural relaxation (GGA-PBE). Values from VASP.

Properties
space-group type = P-31c, No. 163
energy relative to the elements, uncorrected = -1791 meV per atom

Quantum ESPRESSO input file:
```
&SYSTEM
  ibrav = 0, nat = 18, ntyp = 4
/
ATOMIC_SPECIES
K 39.10 K.upf
Ce 140.12 Ce.upf
Tl 204.38 Tl.upf
Cl 35.45 Cl.upf
CELL_PARAMETERS angstrom
7.7305 0.0000 0.0000
-3.8652 6.6948 0.0000
0.0000 0.0000 12.6909
ATOMIC_POSITIONS angstrom
K 0.0000 4.4632 3.1727
K 3.8653 2.2316 9.5182
Ce 0.0000 4.4632 9.5182
Ce 3.8653 2.2316 3.1727
Tl 0.0000 0.0000 0.0000
Tl 0.0000 0.0000 6.3455
Cl -1.0940 2.5804 8.0175
Cl -2.1776 4.4571 11.0188
Cl 1.0941 2.5804 11.0188
Cl -1.0835 6.3521 8.0175
Cl 2.7817 0.3427 1.6721
Cl 1.6876 2.2377 4.6734
Cl 2.1776 4.4571 8.0175
Cl 1.0836 6.3521 11.0188
Cl 4.9488 0.3427 4.6734
Cl 2.7712 4.1144 1.6721
Cl 6.0428 2.2377 1.6721
Cl 4.9593 4.1144 4.6734
```



Entry from Alexandria via LeMat-Bulk: KCeTl2Cl6 after structural relaxation (GGA-PBE). Values from VASP.

Properties
density of states at the Fermi level = 0.214 states/eV/atom
space-group type = P2_1/c, No. 14
energy relative to the elements, uncorrected = -1716 meV per atom

Quantum ESPRESSO input file:
```
&SYSTEM
  ibrav = 0, nat = 20, ntyp = 4
/
ATOMIC_SPECIES
K 39.10 K.upf
Ce 140.12 Ce.upf
Tl 204.38 Tl.upf
Cl 35.45 Cl.upf
CELL_PARAMETERS angstrom
7.6182 0.0000 0.0000
0.0000 8.2205 0.0000
-7.1831 0.0000 11.0058
ATOMIC_POSITIONS angstrom
K 0.0000 0.0000 0.0000
K -3.5915 4.1103 5.5029
Ce 0.2176 0.0000 5.5029
Ce 3.8091 4.1103 0.0000
Tl -3.6556 0.5312 8.0628
Tl -0.0641 3.5790 2.5599
Tl 0.4992 4.6415 8.4459
Tl 4.0907 7.6893 2.9430
Cl -2.1024 1.4263 5.0193
Cl -5.6939 2.6840 10.5221
Cl -1.1220 5.9512 4.6238
Cl -4.7135 6.3796 10.1267
Cl 1.0975 0.5236 2.9268
Cl -2.4940 3.5866 8.4297
Cl 2.9292 4.6339 2.5761
Cl -0.6624 7.6969 8.0790
Cl 5.1486 1.8409 0.8791
Cl 1.5571 2.2693 6.3820
Cl 6.1290 5.5365 0.4836
Cl 2.5375 6.7943 5.9865
```



Entry from Alexandria via LeMat-Bulk: KCeZnCl6 after structural relaxation (GGA-PBE). Values from VASP.

Properties
density of states at the Fermi level = 1.113 states/eV/atom
space-group type = P-31c, No. 163
energy relative to the elements, uncorrected = -1776 meV per atom

Quantum ESPRESSO input file:
```
&SYSTEM
  ibrav = 0, nat = 18, ntyp = 4
/
ATOMIC_SPECIES
K 39.10 K.upf
Ce 140.12 Ce.upf
Zn 65.41 Zn.upf
Cl 35.45 Cl.upf
CELL_PARAMETERS angstrom
6.8961 0.0000 0.0000
-3.4480 5.9722 0.0000
0.0000 0.0000 13.7034
ATOMIC_POSITIONS angstrom
K 0.0000 0.0000 0.0000
K 0.0000 0.0000 6.8517
Ce 0.0000 3.9814 3.4258
Ce 3.4480 1.9907 10.2775
Zn 0.0000 3.9814 10.2775
Zn 3.4480 1.9907 3.4258
Cl -1.1178 2.2874 8.8027
Cl -2.0260 3.8604 11.7523
Cl 1.1178 2.2874 11.7523
Cl -0.9082 5.7965 8.8027
Cl 2.5398 0.1756 1.9510
Cl 1.4220 2.1117 4.9006
Cl 2.0260 3.8604 8.8027
Cl 0.9082 5.7965 11.7523
Cl 4.3562 0.1756 4.9006
Cl 2.3302 3.6848 1.9510
Cl 5.4741 2.1117 1.9510
Cl 4.5659 3.6848 4.9006
```



Entry from Alexandria via LeMat-Bulk: LaCeCl4 after structural relaxation (GGA-PBE). Values from VASP.

Properties
density of states at the Fermi level = 1.825 states/eV/atom
space-group type = P2_1/c, No. 14
energy relative to the elements, uncorrected = -1867 meV per atom

Quantum ESPRESSO input file:
```
&SYSTEM
  ibrav = 0, nat = 12, ntyp = 3
/
ATOMIC_SPECIES
La 138.91 La.upf
Ce 140.12 Ce.upf
Cl 35.45 Cl.upf
CELL_PARAMETERS angstrom
6.9665 0.0000 0.0000
0.0000 7.9425 0.0000
-1.6025 0.0000 6.0948
ATOMIC_POSITIONS angstrom
La 0.0000 0.0000 0.0000
La -0.8012 3.9713 3.0474
Ce 2.6820 0.0000 3.0474
Ce 3.4833 3.9713 0.0000
Cl -0.0162 1.2309 3.9412
Cl 0.7851 2.7404 0.8938
Cl 1.6257 5.3172 3.5242
Cl 2.4269 6.5965 0.4768
Cl 2.9372 1.3460 5.6179
Cl 3.7384 2.6253 2.5705
Cl 4.5790 5.2021 5.2010
Cl 5.3802 6.7116 2.1536
```



Entry from Alexandria via LeMat-Bulk: LaCeCl2 after structural relaxation (GGA-PBE). Values from VASP.

Properties
density of states at the Fermi level = 1.681 states/eV/atom
space-group type = R3m, No. 160
energy relative to the elements, uncorrected = -1419 meV per atom

Quantum ESPRESSO input file:
```
&SYSTEM
  ibrav = 0, nat = 4, ntyp = 3
/
ATOMIC_SPECIES
La 138.91 La.upf
Ce 140.12 Ce.upf
Cl 35.45 Cl.upf
CELL_PARAMETERS angstrom
1.8061 1.0427 8.8198
-1.8061 1.0427 8.8198
0.0000 -2.0855 8.8198
ATOMIC_POSITIONS angstrom
La 0.0000 0.0000 0.0000
Ce 0.0000 0.0000 4.4090
Cl 0.0000 0.0000 11.0306
Cl 0.0000 0.0000 15.4338
```



Entry from Alexandria via LeMat-Bulk: LaCeCl6 after structural relaxation (GGA-PBE). Values from VASP.

Properties
density of states at the Fermi level = 0.618 states/eV/atom
space-group type = C2/m, No. 12
energy relative to the elements, uncorrected = -2217 meV per atom

Quantum ESPRESSO input file:
```
&SYSTEM
  ibrav = 0, nat = 8, ntyp = 3
/
ATOMIC_SPECIES
La 138.91 La.upf
Ce 140.12 Ce.upf
Cl 35.45 Cl.upf
CELL_PARAMETERS angstrom
3.4745 -6.0585 0.0000
3.4745 6.0585 0.0000
-1.1677 0.0000 7.5928
ATOMIC_POSITIONS angstrom
La 0.0000 0.0000 0.0000
Ce -0.5838 0.0000 3.7964
Cl 0.7146 1.7689 2.0755
Cl 0.7146 -1.7689 2.0755
Cl 1.1472 0.0000 5.9772
Cl 4.6341 0.0000 1.6156
Cl 5.0667 1.7689 5.5173
Cl 5.0667 -1.7689 5.5173
```